This record from Alexandria via LeMat-Bulk describes a relaxed structure of Sr2SmThAs4. The functional is GGA-PBE.

abc: 7.524 4.348 7.639
angles: 90.00 109.25 90.00
Space group P2/m (No. 10)
Unique sites:
Sr 0.000 0.000 0.000 x1
Sr 0.500 0.500 0.000 x1
Sm 0.000 0.500 0.500 x1
Th 0.500 0.000 0.500 x1
As 0.243 0.000 0.728 x2
As 0.258 0.500 0.272 x2

- N(E_F) (states/eV/atom) = 0.89
- calculated total energy (eV/atom) = -5.53
- magnetic moment (Bohr magnetons per cell) = 0.0